Compound: Ac2EuEr
Source: the Alexandria database
Functional: PBE
Structure: optimized geometry

Calculated total energy in eV per atom: -5.72
Magnetic moment in μB/f.u.: 7.23
Offset from the most stable computed form in meV/atom: 0

Cell and atoms, written as POSCAR:
```
Ac2EuEr
1.0
3.917 0.000 0.000
0.000 3.917 0.000
0.000 0.000 10.513
Eu Ac Er
1 2 1
Direct
0.500 0.500 0.500
0.000 0.000 0.766
0.000 0.000 0.234
0.500 0.500 0.000
```

=====

Compound: Ac2EuEr
Source: the Alexandria database
Functional: PBE
Structure: optimized geometry

Calculated total energy in eV per atom: -5.67
Magnetic moment in μB/f.u.: 7.45
Offset from the most stable computed form in meV/atom: 50

Cell and atoms, written as POSCAR:
```
Ac2EuEr
1.0
6.098 0.000 0.000
3.049 5.281 0.000
3.049 1.760 4.979
Eu Ac Er
1 2 1
Direct
0.000 0.000 0.000
0.250 0.250 0.250
0.750 0.750 0.750
0.500 0.500 0.500
```

=====

Compound: AcEuErGa
Source: the Alexandria database
Functional: PBE
Structure: optimized geometry

Calculated total energy in eV per atom: -5.42
Magnetic moment in μB/f.u.: 8.07

Cell and atoms, written as POSCAR:
```
AcEuErGa
1.0
-0.812 -4.401 3.341
4.146 -3.635 0.888
2.502 -0.219 4.988
Eu Ac Ga Er
1 1 1 1
Direct
0.250 0.250 0.250
0.500 0.500 0.500
0.000 0.000 0.000
0.750 0.750 0.750
```

=====

Compound: AcEuGdEr
Source: the Alexandria database
Functional: PBE
Structure: optimized geometry

Calculated total energy in eV per atom: -8.13
Magnetic moment in μB/f.u.: 0.12

Cell and atoms, written as POSCAR:
```
AcEuGdEr
1.0
5.936 0.000 0.000
2.968 5.140 0.000
2.968 1.713 4.846
Eu Ac Gd Er
1 1 1 1
Direct
0.500 0.500 0.500
0.750 0.750 0.750
0.250 0.250 0.250
0.000 0.000 0.000
```

=====

Compound: AcEuErHg
Source: the Alexandria database
Functional: PBE
Structure: optimized geometry

Calculated total energy in eV per atom: -4.76
Magnetic moment in μB/f.u.: 7.72

Cell and atoms, written as POSCAR:
```
AcEuErHg
1.0
-3.593 -2.406 -3.682
-0.611 -5.646 -0.095
-4.814 -2.367 1.864
Eu Ac Hg Er
1 1 1 1
Direct
0.500 0.500 0.500
0.750 0.750 0.750
0.250 0.250 0.250
0.000 0.000 0.000
```

=====

Compound: AcEuHoEr
Source: the Alexandria database
Functional: PBE
Structure: optimized geometry

Calculated total energy in eV per atom: -5.73
Magnetic moment in μB/f.u.: 7.84

Cell and atoms, written as POSCAR:
```
AcEuHoEr
1.0
5.910 0.000 0.000
2.955 5.119 0.000
2.955 1.706 4.826
Eu Ac Ho Er
1 1 1 1
Direct
0.000 0.000 0.000
0.250 0.250 0.250
0.500 0.500 0.500
0.750 0.750 0.750
```

=====

Compound: LiAcEuEr
Source: the Alexandria database
Functional: PBE
Structure: optimized geometry

Calculated total energy in eV per atom: -4.96
Magnetic moment in μB/f.u.: 7.34

Cell and atoms, written as POSCAR:
```
LiAcEuEr
1.0
5.831 0.000 0.000
2.916 5.050 0.000
2.916 1.683 4.761
Eu Ac Li Er
1 1 1 1
Direct
0.750 0.750 0.750
0.500 0.500 0.500
0.000 0.000 0.000
0.250 0.250 0.250
```

=====

Compound: AcEuErMg
Source: the Alexandria database
Functional: PBE
Structure: optimized geometry

Calculated total energy in eV per atom: -5.00
Magnetic moment in μB/f.u.: 7.18

Cell and atoms, written as POSCAR:
```
AcEuErMg
1.0
5.808 0.000 0.000
2.904 5.030 0.000
2.904 1.677 4.742
Eu Ac Mg Er
1 1 1 1
Direct
0.250 0.250 0.250
0.500 0.500 0.500
0.000 0.000 0.000
0.750 0.750 0.750
```

=====

The evaluated ΔH_f (0 K) for the records listed, in turn: 0.041, 0.091, 0.072, 0.130, 0.053, 0.152, 0.252, 0.130 eV/atom.